Density functional theory data (GGA-PBE) for a relaxed TlZn2Se crystal.

Cell lengths 3.6066, 3.6066, 7.7195 Å; angles 90.00, 90.00, 108.76 degrees
Atoms (fractional coordinates):
Se 0.0000 0.0000 0.4211
Tl 0.5000 0.5000 0.7686
Zn 0.0000 0.0000 0.0557
Zn 0.5000 0.5000 0.2547

Calculated values
Energy relative to the elements, uncorrected ... 0.007 eV per atom
ΔE to the lowest computed polymorph ... 107 meV per atom
Electronic total energy ... -8.369 eV per cell
Space group ... Cmm2 (35)